# SiAs2 PBE-GGA relaxed
data_SiAs2
_chemical_formula_sum 'Si2 As4'
_cell_length_a 5.423
_cell_length_b 5.423
_cell_length_c 7.597
_cell_angle_alpha 73.68
_cell_angle_beta 73.68
_cell_angle_gamma 36.08
_symmetry_space_group_name_H-M 'P 1'
_symmetry_Int_Tables_number 1
_symmetry_space_group_name_Hall 'P 1'
loop_
_atom_site_label
_atom_site_fract_x
_atom_site_fract_y
_atom_site_fract_z
_atom_site_occupancy
As1 0.879 0.879 0.111 1
As2 0.884 0.884 0.611 1
As3 0.116 0.116 0.389 1
Si1 0.436 0.436 0.820 1
Si2 0.564 0.564 0.180 1
As4 0.121 0.121 0.889 1
# magnetization = 0.0 μB per cell
# offset from the most stable computed form = 0.423 eV/atom
# electronic total energy = -4.569 eV per atom
# formation energy without anion corrections = 338 meV/atom